[1]
Entry from the Open Quantum Materials Database: a relaxed GdZn crystal (PBE). Values from VASP.

Cell and atoms, written as Quantum ESPRESSO input:
```
&SYSTEM
  ibrav = 0, nat = 8, ntyp = 2
/
ATOMIC_SPECIES
Gd 157.25 Gd.upf
Zn 65.41 Zn.upf
CELL_PARAMETERS angstrom
3.732 0.000 0.000
0.000 5.104 0.000
0.000 0.000 9.777
ATOMIC_POSITIONS angstrom
Gd 0.933 1.276 0.429
Gd 0.933 3.828 2.841
Gd 2.799 1.276 6.935
Gd 2.799 3.828 9.348
Zn 0.933 1.276 4.605
Zn 0.933 3.828 6.985
Zn 2.799 1.276 2.791
Zn 2.799 3.828 5.171
```

Values from the calculation:
uncorrected energy: -3.15 eV/atom
total magnetic moment: 0.0 Bohr magnetons per cell
formation energy: -0.379 eV/f.u.
SG: Pmmn (59)

[2]
Entry from the Open Quantum Materials Database: a relaxed Lu4Sc2P3N3 crystal (PBE). Values from VASP.

Cell and atoms, written as Quantum ESPRESSO input:
```
&SYSTEM
  ibrav = 0, nat = 24, ntyp = 4
/
ATOMIC_SPECIES
Lu 174.97 Lu.upf
Sc 44.96 Sc.upf
P 30.97 P.upf
N 14.01 N.upf
CELL_PARAMETERS angstrom
5.282 -3.049 0.000
5.282 3.049 0.000
-3.515 0.000 12.151
ATOMIC_POSITIONS angstrom
Lu 0.881 0.519 1.289
Lu 0.891 0.504 4.787
Lu -0.876 -0.519 7.364
Lu -0.867 -0.504 10.862
Lu 7.916 0.504 1.288
Lu 7.925 0.519 4.787
Lu 6.158 -0.504 7.364
Lu 6.168 -0.519 10.862
Sc 4.414 0.506 1.273
Sc 4.392 0.506 4.803
Sc 2.657 -0.506 7.348
Sc 2.635 -0.506 10.878
P 4.403 2.468 3.038
P 0.952 0.468 9.109
P 2.709 -0.468 3.034
P 4.340 0.468 9.117
P 6.097 -0.468 3.041
P 2.646 -2.468 9.113
N 2.641 1.525 0.000
N 2.659 1.500 6.074
N 6.147 1.500 0.002
N 0.884 -1.525 6.075
N 0.901 -1.500 12.149
N 4.390 -1.500 6.077
```

Values from the calculation:
uncorrected energy: -7.50 eV/atom
total magnetic moment: 0.0 Bohr magnetons per cell
SG: C2/c (15)